Entry one
Compound: Ba2CaZnPd
Source: Alexandria via LeMat-Bulk
Functional: PBE
Structure: relaxed

Its density of states at the Fermi level is 0.61 states/eV per atom.

The structure belongs to space group P4/mmm (No. 123); the cell edges are 6.209, 6.209 and 5.548 Å and the angles 90.00°, 90.00° and 90.00°. Symmetry generates all atoms from Ba at (0.000, 0.500, 0.000), Ca at (0.000, 0.000, 0.500), Zn at (0.500, 0.500, 0.500) and Pd at (0.000, 0.000, 0.000).

Entry two
Compound: Ba2CaZnPd
Source: Alexandria via LeMat-Bulk
Functional: PBE
Structure: relaxed

Its density of states at the Fermi level is 1.20 states/eV per atom.

The structure belongs to space group P4/mmm (No. 123); the cell edges are 6.237, 6.237 and 5.078 Å and the angles 90.00°, 90.00° and 90.00°. Symmetry generates all atoms from Ba at (0.000, 0.500, 0.000), Ca at (0.000, 0.000, 0.500), Zn at (0.500, 0.500, 0.500) and Pd at (0.500, 0.500, 0.000).

Which is the most stable structure? entry one is the most stable.

Entry one
Compound: BaCaZnPd
Source: Alexandria via LeMat-Bulk
Functional: PBE
Structure: relaxed

Its density of states at the Fermi level is 0.86 states/eV per atom.

The structure belongs to space group F-43m (No. 216); the cell edges are 7.654, 7.654 and 7.654 Å and the angles 90.00°, 90.00° and 90.00°. Symmetry generates all atoms from Ba at (0.000, 0.000, 0.000), Ca at (0.000, 0.000, 0.500), Zn at (0.250, 0.250, 0.250) and Pd at (0.250, 0.250, 0.750).

Entry two
Compound: BaCaZnPd
Source: Alexandria via LeMat-Bulk
Functional: PBE
Structure: relaxed

Its density of states at the Fermi level is 0.47 states/eV per atom.

The structure belongs to space group R3m (No. 160, hexagonal axes); the cell edges are 4.4797, 4.4797 and 23.0453 Å and the angles 90.00°, 90.00° and 120.00°. Symmetry generates all atoms from Ba at (0.0000, 0.0000, 0.0000), Ca at (0.0000, 0.0000, 0.8265), Zn at (0.0000, 0.0000, 0.2353) and Pd at (0.0000, 0.0000, 0.5680).

Which is the most stable structure? entry two is the most stable.

Entry one
Compound: Ba2CaPm
Source: Alexandria via LeMat-Bulk
Functional: PBE
Structure: relaxed

Its density of states at the Fermi level is 1.73 states/eV per atom.

The structure belongs to space group R-3m (No. 166, hexagonal axes); the cell edges are 3.9177, 3.9177 and 42.6641 Å and the angles 90.00°, 90.00° and 120.00°. Symmetry generates all atoms from Ba at (0.0000, 0.0000, 0.0853), Ca at (0.0000, 0.0000, 0.5000) and Pm at (0.0000, 0.0000, 0.0000).

Entry two
Compound: Ba2CaPm
Source: Alexandria via LeMat-Bulk
Functional: PBE
Structure: relaxed

Its density of states at the Fermi level is 1.12 states/eV per atom.

The structure belongs to space group P4/mmm (No. 123); the cell edges are 6.501, 6.501 and 4.526 Å and the angles 90.00°, 90.00° and 90.00°. Symmetry generates all atoms from Ba at (0.000, 0.500, 0.000), Ca at (0.000, 0.000, 0.500) and Pm at (0.500, 0.500, 0.500).

Which is the most stable structure? entry two is the most stable.

Entry one
Compound: Ba2CaPm
Source: Alexandria via LeMat-Bulk
Functional: PBE
Structure: relaxed

Its density of states at the Fermi level is 1.50 states/eV per atom.

The structure belongs to space group R3m (No. 160, hexagonal axes); the cell edges are 4.0333, 4.0333 and 40.2571 Å and the angles 90.00°, 90.00° and 120.00°. Symmetry generates all atoms from Ba at (0.0000, 0.0000, 0.0000), Ba at (0.0000, 0.0000, 0.1726), Ca at (0.0000, 0.0000, 0.4198) and Pm at (0.0000, 0.0000, 0.5862).

Entry two
Compound: Ba2CaPm
Source: Alexandria via LeMat-Bulk
Functional: PBE
Structure: relaxed

Its density of states at the Fermi level is 1.16 states/eV per atom.

The structure belongs to space group Fm-3m (No. 225); the cell edges are 9.161, 9.161 and 9.161 Å and the angles 90.00°, 90.00° and 90.00°. Symmetry generates all atoms from Ba at (0.250, 0.250, 0.250), Ca at (0.000, 0.000, 0.000) and Pm at (0.000, 0.000, 0.500).

Which is the most stable structure? entry one is the most stable.

Entry one
Compound: BaCaPm
Source: Alexandria via LeMat-Bulk
Functional: PBE
Structure: relaxed

Its density of states at the Fermi level is 1.20 states/eV per atom.

The structure belongs to space group Cm (No. 8); the cell edges are 10.633, 6.140 and 7.994 Å and the angles 90.00°, 90.01° and 90.00°. Symmetry generates all atoms from Ba at (0.000, 0.000, 0.000), Ba at (0.167, 0.500, 0.823), Ca at (0.333, 0.000, 0.188), Ca at (0.333, 0.000, 0.635), Pm at (0.002, 0.000, 0.469) and Pm at (0.169, 0.500, 0.354).

Entry two
Compound: BaCaPm
Source: Alexandria via LeMat-Bulk
Functional: PBE
Structure: relaxed

Its density of states at the Fermi level is 1.60 states/eV per atom.

The structure belongs to space group P3m1 (No. 156); the cell edges are 3.9181, 3.9181 and 9.7828 Å and the angles 90.00°, 90.00° and 120.00°. Symmetry generates all atoms from Ba at (0.0000, 0.0000, 0.0000), Ca at (0.3333, 0.6667, 0.6426) and Pm at (0.6667, 0.3333, 0.3365).

Which is the most stable structure? entry one is the most stable.

Entry one
Compound: Ba2CaPr
Source: Alexandria via LeMat-Bulk
Functional: PBE
Structure: relaxed

Its density of states at the Fermi level is 1.73 states/eV per atom.

The structure belongs to space group P4/mmm (No. 123); the cell edges are 4.048, 4.048 and 11.882 Å and the angles 90.00°, 90.00° and 90.00°. Symmetry generates all atoms from Ba at (0.000, 0.000, 0.240), Ca at (0.500, 0.500, 0.500) and Pr at (0.500, 0.500, 0.000).

Entry two
Compound: Ba2CaPr
Source: Alexandria via LeMat-Bulk
Functional: PBE
Structure: relaxed

Its density of states at the Fermi level is 1.25 states/eV per atom.

The structure belongs to space group Fm-3m (No. 225); the cell edges are 9.204, 9.204 and 9.204 Å and the angles 90.00°, 90.00° and 90.00°. Symmetry generates all atoms from Ba at (0.250, 0.250, 0.250), Ca at (0.000, 0.000, 0.000) and Pr at (0.000, 0.000, 0.500).

Entry three
Compound: Ba2CaPr
Source: Alexandria via LeMat-Bulk
Functional: PBE
Structure: relaxed

Its density of states at the Fermi level is 1.08 states/eV per atom.

The structure belongs to space group P4/mmm (No. 123); the cell edges are 6.530, 6.530 and 4.539 Å and the angles 90.00°, 90.00° and 90.00°. Symmetry generates all atoms from Ba at (0.000, 0.500, 0.000), Ca at (0.000, 0.000, 0.500) and Pr at (0.500, 0.500, 0.500).

Which is the most stable structure? entry one is the most stable.

Entry one
Compound: Ba2CaPr
Source: Alexandria via LeMat-Bulk
Functional: PBE
Structure: relaxed

Its density of states at the Fermi level is 1.43 states/eV per atom.

The structure belongs to space group R3m (No. 160, hexagonal axes); the cell edges are 4.0543, 4.0543 and 40.4671 Å and the angles 90.00°, 90.00° and 120.00°. Symmetry generates all atoms from Ba at (0.0000, 0.0000, 0.0000), Ba at (0.0000, 0.0000, 0.1717), Ca at (0.0000, 0.0000, 0.7523) and Pr at (0.0000, 0.0000, 0.5861).

Entry two
Compound: Ba2CaPr
Source: Alexandria via LeMat-Bulk
Functional: PBE
Structure: relaxed

Its density of states at the Fermi level is 1.69 states/eV per atom.

The structure belongs to space group R-3m (No. 166, hexagonal axes); the cell edges are 3.9457, 3.9457 and 42.8997 Å and the angles 90.00°, 90.00° and 120.00°. Symmetry generates all atoms from Ba at (0.0000, 0.0000, 0.0860), Ca at (0.0000, 0.0000, 0.5000) and Pr at (0.0000, 0.0000, 0.0000).

Which is the most stable structure? entry one is the most stable.

Entry one
Compound: BaCa2Pr
Source: Alexandria via LeMat-Bulk
Functional: PBE
Structure: relaxed

Its density of states at the Fermi level is 1.46 states/eV per atom.

The structure belongs to space group P4/mmm (No. 123); the cell edges are 6.348, 6.348 and 4.350 Å and the angles 90.00°, 90.00° and 90.00°. Symmetry generates all atoms from Ba at (0.000, 0.000, 0.000), Ca at (0.000, 0.500, 0.500) and Pr at (0.500, 0.500, 0.000).

Entry two
Compound: BaCa2Pr
Source: Alexandria via LeMat-Bulk
Functional: PBE
Structure: relaxed

Its density of states at the Fermi level is 1.60 states/eV per atom.

The structure belongs to space group R-3m (No. 166, hexagonal axes); the cell edges are 3.9250, 3.9250 and 39.2938 Å and the angles 90.00°, 90.00° and 120.00°. Symmetry generates all atoms from Ba at (0.0000, 0.0000, 0.0000), Ca at (0.0000, 0.0000, 0.2449) and Pr at (0.0000, 0.0000, 0.5000).

Which is the most stable structure? entry two is the most stable.